1.
This record from the Alexandria database describes a relaxed structure of ZrPaCuPt. The functional is GGA-PBE.

Lattice parameters (Å, degrees): 6.831 6.831 6.831 90.00 90.00 90.00
Space group F-43m (No. 216)
Unique sites:
Zr1 0.000 0.000 0.000
Pa1 0.000 0.000 0.500
Cu1 0.250 0.250 0.750
Pt1 0.250 0.250 0.250

Density, g cm⁻³: 12.11
DFT formation energy, kJ/mol of formula units: -135.7
D(E_F), states/eV/atom: 1.7327
E_tot, eV per atom: -7.397


2.
This record from the Alexandria database describes a relaxed structure of YPtSe2. The functional is GGA-PBE.

Lattice parameters (Å, degrees): 3.509 3.509 6.654 90.00 90.00 90.00
Space group P4/mmm (No. 123)
Unique sites:
Y1 0.000 0.000 0.000
Pt1 0.000 0.000 0.500
Se1 0.500 0.500 0.249

ΔE_f (raw), eV/atom: -0.53
Density, g cm⁻³: 8.96
D(E_F), states/eV/atom: 0.7141
E_tot, eV per atom: -5.401


3.
This record from the Alexandria database describes a relaxed structure of Ba4PdBr2N. The functional is GGA-PBE.

Lattice parameters (Å, degrees): 7.733 4.408 8.408 90.00 106.52 90.00
Space group P2/m (No. 10)
Unique sites:
Ba1 0.217 0.000 0.193
Ba2 0.227 0.500 0.800
Pd1 0.500 0.000 0.000
Br1 0.000 0.000 0.500
Br2 0.500 0.500 0.500
N1 0.000 0.500 0.000

ΔE_f (raw), eV/atom: -1.10
Density, g cm⁻³: 5.01
D(E_F), states/eV/atom: 0.3765
E_tot, eV per atom: -4.173


4.
This record from the Alexandria database describes a relaxed structure of BeP2Cl. The functional is GGA-PBE.

Lattice parameters (Å, degrees): 6.198 6.198 6.198 90.00 90.00 90.00
Space group Fm-3m (No. 225)
Unique sites:
Be1 0.000 0.000 0.000
P1 0.250 0.250 0.250
Cl1 0.000 0.000 0.500

ΔE_f (raw), eV/atom: 0.96
Relative energy among the computed polymorphs, meV per atom: 1341.6
Density, g cm⁻³: 2.97
D(E_F), states/eV/atom: 0.5395
E_tot, eV per atom: -3.141


5.
This record from the Alexandria database describes a relaxed structure of AcLa4S6. The functional is GGA-PBE.

Lattice parameters (Å, degrees): 4.127 13.739 20.823 90.00 90.00 90.00
Space group Cmcm (No. 63)
Unique sites:
Ac1 0.000 0.158 0.250
La1 0.000 0.093 0.628
La2 0.000 0.362 0.541
S1 0.000 0.000 0.000
S2 0.000 0.188 0.750
S3 0.000 0.268 0.091
S4 0.000 0.452 0.667

ΔE_f (raw), eV/atom: -2.16
Density, g cm⁻³: 5.49
D(E_F), states/eV/atom: 0.3332
E_tot, eV per atom: -6.574


6.
This record from the Alexandria database describes a relaxed structure of AcThSi4. The functional is GGA-PBE.

Lattice parameters (Å, degrees): 4.155 4.349 7.284 90.00 90.00 90.00
Space group Pmmm (No. 47)
Unique sites:
Ac1 0.000 0.000 0.000
Th1 0.500 0.000 0.500
Si1 0.000 0.500 0.341
Si2 0.500 0.500 0.177

ΔE_f (raw), eV/atom: -0.55
Density, g cm⁻³: 7.21
D(E_F), states/eV/atom: 0.5832
E_tot, eV per atom: -6.089


7.
This record from the Alexandria database describes a relaxed structure of K3TbTa2O9. The functional is GGA-PBE.

Lattice parameters (Å, degrees): 5.9294 5.9294 7.3029 90.00 90.00 120.00
Space group P-3m1 (No. 164)
Unique sites:
K1 0.0000 0.0000 0.0000
K2 0.3333 0.6667 0.6689
Tb1 0.0000 0.0000 0.5000
Ta1 0.3333 0.6667 0.1645
O1 0.0000 0.5000 0.0000
O2 0.1768 0.3535 0.3133

ΔE_f (raw), eV/atom: -2.45
Density, g cm⁻³: 5.84
D(E_F), states/eV/atom: 0.5039
E_tot, eV per atom: -7.536


8.
This record from the Alexandria database describes a relaxed structure of VZnBi. The functional is GGA-PBE.

Lattice parameters (Å, degrees): 5.420 11.953 7.431 90.00 90.00 90.00
Space group Cmce (No. 64)
Unique sites:
V1 0.000 0.086 0.064
Zn1 0.250 0.068 0.750
Bi1 0.000 0.172 0.429

Density, g cm⁻³: 8.98
DFT formation energy, kJ/mol of formula units: 54.6
D(E_F), states/eV/atom: 0.7510
E_tot, eV per atom: -4.569


9.
This record from the Alexandria database describes a relaxed structure of ErV2Cr. The functional is GGA-PBE.

Lattice parameters (Å, degrees): 4.0948 4.0948 14.9961 90.00 90.00 120.00
Space group R-3m (No. 166, hexagonal axes)
Unique sites:
Er1 0.0000 0.0000 0.0000
V1 0.0000 0.0000 0.2042
Cr1 0.0000 0.0000 0.5000

Density, g cm⁻³: 7.35
DFT formation energy, kJ/mol of formula units: 146.1
D(E_F), states/eV/atom: 1.2124
E_tot, eV per atom: -7.727


10.
This record from the Alexandria database describes a relaxed structure of LiSe. The functional is GGA-PBE.

Lattice parameters (Å, degrees): 3.069 3.069 3.788 90.00 90.00 90.00
Space group P4/mmm (No. 123)
Unique sites:
Li1 0.000 0.000 0.000
Se1 0.500 0.500 0.500

ΔE_f (raw), eV/atom: -0.73
Relative energy among the computed polymorphs, meV per atom: 174.7
Density, g cm⁻³: 4.00
D(E_F), states/eV/atom: 0.3413
E_tot, eV per atom: -3.434


11.
This record from the Alexandria database describes a relaxed structure of CaScTe2. The functional is GGA-PBE.

Lattice parameters (Å, degrees): 3.758 5.350 5.364 90.00 90.00 90.00
Space group Pmmm (No. 47)
Unique sites:
Ca1 0.000 0.000 0.000
Sc1 0.000 0.500 0.500
Te1 0.500 0.000 0.500
Te2 0.500 0.500 0.000

ΔE_f (raw), eV/atom: -1.03
Relative energy among the computed polymorphs, meV per atom: 317.5
Density, g cm⁻³: 5.24
D(E_F), states/eV/atom: 0.6485
E_tot, eV per atom: -4.687


12.
This record from the Alexandria database describes a relaxed structure of SrTlSbPb. The functional is GGA-PBE.

Lattice parameters (Å, degrees): 8.013 8.013 8.013 90.00 90.00 90.00
Space group F-43m (No. 216)
Unique sites:
Sr1 0.000 0.000 0.000
Tl1 0.250 0.250 0.250
Sb1 0.250 0.250 0.750
Pb1 0.000 0.000 0.500

ΔE_f (raw), eV/atom: -0.32
Density, g cm⁻³: 8.02
D(E_F), states/eV/atom: 0.7653
E_tot, eV per atom: -3.289